# 1
# LaAlSe2, optimized geometry, DFT GGA-PBEsol
# ρ = 4003 kg/m3
# volume = 403.0 Å³/cell
# uncorrected formation energy = -898 meV per atom
# crystal system = trigonal
# magnetic moment = 0.0 μB/cell
data_LaAlSe2
_chemical_formula_sum 'La3 Al3 Se6'
_cell_length_a 4.2738
_cell_length_b 4.2738
_cell_length_c 25.4776
_cell_angle_alpha 90.00
_cell_angle_beta 90.00
_cell_angle_gamma 120.00
_symmetry_space_group_name_H-M 'R -3 m'
_symmetry_Int_Tables_number 166
_symmetry_space_group_name_Hall '-R 3 2"'
loop_
_atom_site_label
_atom_site_fract_x
_atom_site_fract_y
_atom_site_fract_z
La1 0.0000 0.0000 0.0000
Al1 0.0000 0.0000 0.5000
Se1 0.0000 0.0000 0.3979

---

# 2
# LaAl2Si, optimized geometry, DFT GGA-PBEsol
# ρ = 4266 kg/m3
# volume = 172.0 Å³/cell
# uncorrected formation energy = -371 meV per atom
# crystal system = monoclinic
# magnetic moment = 0.0 μB/cell
data_LaAl2Si
_chemical_formula_sum 'La2 Al4 Si2'
_cell_length_a 8.230
_cell_length_b 4.009
_cell_length_c 5.576
_cell_angle_alpha 90.00
_cell_angle_beta 110.79
_cell_angle_gamma 90.00
_symmetry_space_group_name_H-M 'C 1 m 1'
_symmetry_Int_Tables_number 8
_symmetry_space_group_name_Hall 'C -2y'
loop_
_atom_site_label
_atom_site_fract_x
_atom_site_fract_y
_atom_site_fract_z
La1 0.000 0.000 0.000
Al1 0.225 0.000 0.642
Al2 0.490 0.000 0.486
Si1 0.266 0.500 0.361

---

# 3
# LaAl2Si, optimized geometry, DFT GGA-PBEsol
# ρ = 4544 kg/m3
# volume = 80.8 Å³/cell
# uncorrected formation energy = -277 meV per atom
# crystal system = orthorhombic
# magnetic moment = 0.0 μB/cell
data_LaAl2Si
_chemical_formula_sum 'La1 Al2 Si1'
_cell_length_a 3.215
_cell_length_b 3.723
_cell_length_c 6.747
_cell_angle_alpha 90.00
_cell_angle_beta 90.00
_cell_angle_gamma 90.00
_symmetry_space_group_name_H-M 'P m m 2'
_symmetry_Int_Tables_number 25
_symmetry_space_group_name_Hall 'P 2 -2'
loop_
_atom_site_label
_atom_site_fract_x
_atom_site_fract_y
_atom_site_fract_z
La1 0.000 0.000 0.000
Al1 0.000 0.000 0.477
Al2 0.500 0.500 0.680
Si1 0.500 0.500 0.302

---

# 4
# LaAl2Si, optimized geometry, DFT GGA-PBEsol
# ρ = 4404 kg/m3
# volume = 166.6 Å³/cell
# uncorrected formation energy = -2 meV per atom
# crystal system = monoclinic
# magnetic moment = 0.0 μB/cell
data_LaAl2Si
_chemical_formula_sum 'La2 Al4 Si2'
_cell_length_a 6.044
_cell_length_b 10.474
_cell_length_c 2.985
_cell_angle_alpha 90.00
_cell_angle_beta 118.16
_cell_angle_gamma 90.00
_symmetry_space_group_name_H-M 'C 1 2/m 1'
_symmetry_Int_Tables_number 12
_symmetry_space_group_name_Hall '-C 2y'
loop_
_atom_site_label
_atom_site_fract_x
_atom_site_fract_y
_atom_site_fract_z
La1 0.000 0.000 0.000
Al1 0.250 0.250 0.500
Si1 0.000 0.500 0.000

---

# 5
# La3Al4Si6, optimized geometry, DFT GGA-PBEsol
# ρ = 4190 kg/m3
# volume = 274.7 Å³/cell
# uncorrected formation energy = -500 meV per atom
# crystal system = trigonal
# magnetic moment = 0.0 μB/cell
data_La3Al4Si6
_chemical_formula_sum 'La3 Al4 Si6'
_cell_length_a 4.1755
_cell_length_b 4.1755
_cell_length_c 18.1950
_cell_angle_alpha 90.00
_cell_angle_beta 90.00
_cell_angle_gamma 120.00
_symmetry_space_group_name_H-M 'P -3 m 1'
_symmetry_Int_Tables_number 164
_symmetry_space_group_name_Hall '-P 3 2"'
loop_
_atom_site_label
_atom_site_fract_x
_atom_site_fract_y
_atom_site_fract_z
La1 0.0000 0.0000 0.0000
La2 0.0000 0.0000 0.3867
Al1 0.3333 0.6667 0.2432
Al2 0.3333 0.6667 0.8599
Si1 0.3333 0.6667 0.1034
Si2 0.3333 0.6667 0.4971
Si3 0.3333 0.6667 0.7198

---

# 6
# LaAlSi4, optimized geometry, DFT GGA-PBEsol
# ρ = 4410 kg/m3
# volume = 419.1 Å³/cell
# uncorrected formation energy = -163 meV per atom
# crystal system = cubic
# magnetic moment = 0.0 μB/cell
data_LaAlSi4
_chemical_formula_sum 'La4 Al4 Si16'
_cell_length_a 7.483
_cell_length_b 7.483
_cell_length_c 7.483
_cell_angle_alpha 90.00
_cell_angle_beta 90.00
_cell_angle_gamma 90.00
_symmetry_space_group_name_H-M 'F -4 3 m'
_symmetry_Int_Tables_number 216
_symmetry_space_group_name_Hall 'F -4 2 3'
loop_
_atom_site_label
_atom_site_fract_x
_atom_site_fract_y
_atom_site_fract_z
La1 0.000 0.000 0.000
Al1 0.250 0.250 0.250
Si1 0.122 0.122 0.622

---

# 7
# LaAl2Si, optimized geometry, DFT GGA-PBEsol
# ρ = 4345 kg/m3
# volume = 168.9 Å³/cell
# uncorrected formation energy = -214 meV per atom
# crystal system = orthorhombic
# magnetic moment = 0.0 μB/cell
data_LaAl2Si
_chemical_formula_sum 'La2 Al4 Si2'
_cell_length_a 3.854
_cell_length_b 4.458
_cell_length_c 9.831
_cell_angle_alpha 90.00
_cell_angle_beta 90.00
_cell_angle_gamma 90.00
_symmetry_space_group_name_H-M 'I m m m'
_symmetry_Int_Tables_number 71
_symmetry_space_group_name_Hall '-I 2 2'
loop_
_atom_site_label
_atom_site_fract_x
_atom_site_fract_y
_atom_site_fract_z
La1 0.000 0.000 0.000
Al1 0.000 0.500 0.230
Si1 0.000 0.000 0.500

---

# 8
# LaAlSi, optimized geometry, DFT GGA-PBEsol
# ρ = 4836 kg/m3
# volume = 266.4 Å³/cell
# uncorrected formation energy = -703 meV per atom
# crystal system = tetragonal
# magnetic moment = 0.0 μB/cell
data_LaAlSi
_chemical_formula_sum 'La4 Al4 Si4'
_cell_length_a 4.268
_cell_length_b 4.268
_cell_length_c 14.625
_cell_angle_alpha 90.00
_cell_angle_beta 90.00
_cell_angle_gamma 90.00
_symmetry_space_group_name_H-M 'I 41 m d'
_symmetry_Int_Tables_number 109
_symmetry_space_group_name_Hall 'I 4bw -2'
loop_
_atom_site_label
_atom_site_fract_x
_atom_site_fract_y
_atom_site_fract_z
La1 0.000 0.000 0.000
Al1 0.000 0.000 0.416
Si1 0.000 0.000 0.583

---

# 9
# La2AlSn2, optimized geometry, DFT GGA-PBEsol
# ρ = 6551 kg/m3
# volume = 274.9 Å³/cell
# calculated formation energy = -14.8 kcal/mol of atoms
# crystal system = tetragonal
# magnetic moment = 0.0 μB/cell
data_La2AlSn2
_chemical_formula_sum 'La4 Al2 Sn4'
_cell_length_a 7.545
_cell_length_b 7.545
_cell_length_c 4.829
_cell_angle_alpha 90.00
_cell_angle_beta 90.00
_cell_angle_gamma 90.00
_symmetry_space_group_name_H-M 'P 4/m b m'
_symmetry_Int_Tables_number 127
_symmetry_space_group_name_Hall '-P 4 2ab'
loop_
_atom_site_label
_atom_site_fract_x
_atom_site_fract_y
_atom_site_fract_z
La1 0.174 0.326 0.000
Al1 0.000 0.000 0.500
Sn1 0.135 0.635 0.500

---

# 10
# LaAl2SnTe, optimized geometry, DFT GGA-PBEsol
# ρ = 4596 kg/m3
# volume = 158.7 Å³/cell
# uncorrected formation energy = 323 meV per atom
# crystal system = tetragonal
# magnetic moment = 0.0 μB/cell
data_LaAl2SnTe
_chemical_formula_sum 'La1 Al2 Sn1 Te1'
_cell_length_a 5.171
_cell_length_b 5.171
_cell_length_c 5.934
_cell_angle_alpha 90.00
_cell_angle_beta 90.00
_cell_angle_gamma 90.00
_symmetry_space_group_name_H-M 'P 4/m m m'
_symmetry_Int_Tables_number 123
_symmetry_space_group_name_Hall '-P 4 2'
loop_
_atom_site_label
_atom_site_fract_x
_atom_site_fract_y
_atom_site_fract_z
La1 0.000 0.000 0.000
Al1 0.000 0.500 0.500
Sn1 0.500 0.500 0.000
Te1 0.000 0.000 0.500

---

# 11
# SrLaAl2, optimized geometry, DFT GGA-PBEsol
# ρ = 3923 kg/m3
# volume = 356.2 Å³/cell
# calculated formation energy = 2.1 kcal/mol of atoms
# crystal system = trigonal
# magnetic moment = 0.0 μB/cell
data_SrLaAl2
_chemical_formula_sum 'Sr3 La3 Al6'
_cell_length_a 3.7073
_cell_length_b 3.7073
_cell_length_c 29.9270
_cell_angle_alpha 90.00
_cell_angle_beta 90.00
_cell_angle_gamma 120.00
_symmetry_space_group_name_H-M 'R -3 m'
_symmetry_Int_Tables_number 166
_symmetry_space_group_name_Hall '-R 3 2"'
loop_
_atom_site_label
_atom_site_fract_x
_atom_site_fract_y
_atom_site_fract_z
Sr1 0.0000 0.0000 0.0000
La1 0.0000 0.0000 0.5000
Al1 0.0000 0.0000 0.2482

---

# 12
# SrLa2Al, optimized geometry, DFT GGA-PBEsol
# ρ = 4828 kg/m3
# volume = 135.0 Å³/cell
# calculated formation energy = -1.7 kcal/mol of atoms
# crystal system = orthorhombic
# magnetic moment = 0.0 μB/cell
data_SrLa2Al
_chemical_formula_sum 'Sr1 La2 Al1'
_cell_length_a 3.697
_cell_length_b 4.314
_cell_length_c 8.463
_cell_angle_alpha 90.00
_cell_angle_beta 90.00
_cell_angle_gamma 90.00
_symmetry_space_group_name_H-M 'P m m m'
_symmetry_Int_Tables_number 47
_symmetry_space_group_name_Hall '-P 2 2'
loop_
_atom_site_label
_atom_site_fract_x
_atom_site_fract_y
_atom_site_fract_z
Sr1 0.000 0.000 0.000
La1 0.500 0.500 0.320
Al1 0.000 0.000 0.500

---

Which formula does entry 9 have? La2AlSn2